Record 1
An optimized crystal structure of CrFeTc2. Source: the Alexandria database, functional PBE.

It has space group P2/m (No. 10), with a = 2.5821 Å, b = 4.1523 Å, c = 5.0589 Å, α = 90.00°, β = 100.48° and γ = 90.00°. Symmetry generates all atoms from Cr at (0.0000, 0.0000, 0.0000), Fe at (0.5000, 0.0000, 0.5000) and Tc at (0.2328, 0.5000, 0.7503).

As for the calculated formation energy: 153 meV per atom. The value obtained for the total magnetic moment is 2.67 μB per formula unit.

***

Record 2
An optimized crystal structure of CrFeTc2. Source: the Alexandria database, functional PBE.

It has space group Cm (No. 8), with a = 8.7407 Å, b = 2.6594 Å, c = 4.5491 Å, α = 90.00°, β = 100.33° and γ = 90.00°. Symmetry generates all atoms from Cr at (0.0000, 0.0000, 0.0000), Fe at (0.2380, 0.5000, 0.2370), Tc at (0.2450, 0.0000, 0.7493) and Tc at (0.4845, 0.0000, 0.4742).

As for the calculated formation energy: 145 meV per atom. The value obtained for the total magnetic moment is 0.51 μB per formula unit.

***

Record 3
An optimized crystal structure of CrFeTc2. Source: the Alexandria database, functional PBE.

It has space group R-3m (No. 166, hexagonal axes), with a = 2.6712 Å, b = 2.6712 Å, c = 25.6657 Å, α = 90.00°, β = 90.00° and γ = 120.00°. Symmetry generates all atoms from Cr at (0.0000, 0.0000, 0.0000), Fe at (0.0000, 0.0000, 0.5000) and Tc at (0.0000, 0.0000, 0.2502).

As for the calculated formation energy: 197 meV per atom. The value obtained for the total magnetic moment is 2.05 μB per formula unit.

***

What did the first record say?
An optimized crystal structure of CrFeTc2. Source: the Alexandria database, functional PBE.

It has space group P2/m (No. 10), with a = 2.5821 Å, b = 4.1523 Å, c = 5.0589 Å, α = 90.00°, β = 100.48° and γ = 90.00°. Symmetry generates all atoms from Cr at (0.0000, 0.0000, 0.0000), Fe at (0.5000, 0.0000, 0.5000) and Tc at (0.2328, 0.5000, 0.7503).

As for the calculated formation energy: 153 meV per atom. The value obtained for the total magnetic moment is 2.67 μB per formula unit.